Compound: RbPuGaO5
Source: the Alexandria database
Functional: PBE
Structure: relaxed

Lattice parameters (Å, degrees): 7.5293 9.8156 8.0579 90.00 116.52 90.00
With the nearest neighbours (Å) after each atom.
Space group C2/c (No. 15)
Inequivalent atoms, fractional coordinates:
Rb 0.0000 0.1683 0.2500  7 O 2.74-2.98
Pu 0.0000 0.5000 0.0000  6 O 2.08
Ga 0.0000 0.1925 0.7500  4 O 1.88-1.89
O 0.0000 0.4471 0.2500  2 Pu 2.08
O 0.0815 0.3050 0.6073  1 Ga 1.88, 1 Pu 2.08
O 0.2101 0.0731 0.8911  1 Ga 1.89, 1 Pu 2.08

## Properties
E_form (uncorrected) in eV/f.u.: -17.242
Total magnetic moment in μB per formula unit: 2.00
Final energy in eV/f.u.: -60.36


Compound: RbPuGa2O6
Source: the Alexandria database
Functional: PBE
Structure: relaxed

Lattice parameters (Å, degrees): 10.7072 10.7363 6.1954 90.00 107.11 90.00
With the nearest neighbours (Å) after each atom.
Space group C2/c (No. 15)
Inequivalent atoms, fractional coordinates:
Rb 0.0000 0.0883 0.2500  6 O 2.71-2.93
Pu 0.0000 0.2942 0.7500  4 O 1.98-2.18
Ga 0.2075 0.4220 0.1476  4 O 1.82-1.93
O 0.0718 0.3012 0.0828  1 Ga 1.90, 1 Pu 1.98
O 0.1327 0.1463 0.7194  1 Ga 1.82
O 0.1681 0.4536 0.8275  2 Ga 1.87-1.93

## Properties
E_form (uncorrected) in eV/f.u.: -20.660
Total magnetic moment in μB per formula unit: 3.00
Final energy in eV/f.u.: -71.76


Compound: RbPu2GaO8
Source: the Alexandria database
Functional: PBE
Structure: relaxed

Lattice parameters (Å, degrees): 6.1623 6.1623 7.4595 90.00 90.00 120.00
With the nearest neighbours (Å) after each atom.
Space group P-3m1 (No. 164)
Inequivalent atoms, fractional coordinates:
Rb 0.0000 0.0000 0.0000  6 O 3.05
Pu 0.3333 0.6667 0.2754  4 O 1.89-2.00
Ga 0.0000 0.0000 0.5000  6 O 2.00
O 0.1527 0.3055 0.3453  1 Pu 2.00, 1 Ga 2.00
O 0.3333 0.6667 0.0226  1 Pu 1.89

## Properties
E_form (uncorrected) in eV/f.u.: -22.005
Total magnetic moment in μB per formula unit: 4.00
Final energy in eV/f.u.: -94.33


Compound: PuGaRhO6
Source: the Alexandria database
Functional: PBE
Structure: relaxed

Lattice parameters (Å, degrees): 5.2280 5.2280 8.7948 90.00 90.00 120.00
With the nearest neighbours (Å) after each atom.
Space group P-31c (No. 163)
Inequivalent atoms, fractional coordinates:
Pu 0.3333 0.6667 0.2500  6 O 2.09
Ga 0.3333 0.6667 0.7500  6 O 2.02
Rh 0.0000 0.0000 0.0000  6 O 2.06
O 0.0111 0.3377 0.6263  1 Ga 2.02, 1 Rh 2.06, 1 Pu 2.09

## Properties
E_form (uncorrected) in eV/f.u.: -15.120
Total magnetic moment in μB per formula unit: 2.00
Final energy in eV/f.u.: -69.58